The following is a DFT calculation (PBE-GGA) of Mg2ScP after structural relaxation.

ΔH_f (0 K)   -67 meV/atom
Crystal system   trigonal
Magnetic moment   0.00 Bohr magnetons per cell
Uncorrected energy   -0.279 Ry/atom

abc: 3.8647 3.8647 21.8888
angles: 90.00 90.00 120.00
With the nearest neighbours (Å) after each atom.
Space group R-3m (No. 166, hexagonal axes)
Inequivalent atoms, fractional coordinates:
Mg 0.0000 0.0000 0.2229 x6  3 P 2.55
Sc 0.0000 0.0000 0.0000 x3  6 Mg 3.29
P 0.0000 0.0000 0.5000 x3  6 Mg 2.55